1.
La6Hg2C: optimized geometry, GGA-PBE.

```
data_La6Hg2C
_chemical_formula_sum 'La12 Hg4 C2'
_symmetry_space_group_name_H-M 'P 1 21/c 1'
_symmetry_Int_Tables_number 14
_cell_length_a 6.9642
_cell_length_b 7.5636
_cell_length_c 12.7938
_cell_angle_alpha 90.00
_cell_angle_beta 122.87
_cell_angle_gamma 90.00
loop_
_symmetry_equiv_pos_as_xyz
'x,y,z'
'-x,-y,-z'
'-x,y+1/2,-z+1/2'
'x,-y+1/2,z+1/2'
loop_
_atom_site_label
_atom_site_type_symbol
_atom_site_fract_x
_atom_site_fract_y
_atom_site_fract_z
La1 La 0.1413 0.0173 0.2347
La2 La 0.2240 0.7087 0.0365
La3 La 0.3428 0.1867 0.0402
Hg1 Hg 0.2972 0.0732 0.7459
C1 C 0.0000 0.0000 0.0000
```

Values from the calculation:
- calculated total energy (eV/atom) = -4.646
- relative energy among the computed polymorphs (meV per atom) = 0
- calculated formation energy (eV per formula unit) = -2.4

=====

2.
RbZnI2O: optimized geometry, GGA-PBE.

```
data_RbZnI2O
_chemical_formula_sum 'Rb1 Zn1 I2 O1'
_symmetry_space_group_name_H-M 'P 4/m m m'
_symmetry_Int_Tables_number 123
_symmetry_space_group_name_Hall '-P 4 2'
_cell_length_a 6.9241
_cell_length_b 6.9241
_cell_length_c 4.4569
_cell_angle_alpha 90.00
_cell_angle_beta 90.00
_cell_angle_gamma 90.00
loop_
_atom_site_label
_atom_site_type_symbol
_atom_site_fract_x
_atom_site_fract_y
_atom_site_fract_z
Rb1 Rb 0.0000 0.0000 0.0000
Zn1 Zn 0.5000 0.5000 0.5000
I1 I 0.0000 0.5000 0.0000
O1 O 0.0000 0.0000 0.5000
```

Values from the calculation:
- calculated total energy (eV/atom) = -1.649
- relative energy among the computed polymorphs (meV per atom) = 1178

=====

3.
ScCr2Cl: optimized geometry, GGA-PBE.

```
data_ScCr2Cl
_chemical_formula_sum 'Sc1 Cr2 Cl1'
_symmetry_space_group_name_H-M 'P 4 m m'
_symmetry_Int_Tables_number 99
_cell_length_a 3.0882
_cell_length_b 3.0882
_cell_length_c 7.7558
_cell_angle_alpha 90.00
_cell_angle_beta 90.00
_cell_angle_gamma 90.00
loop_
_symmetry_equiv_pos_as_xyz
'x,y,z'
'-y,x,z'
'-x,-y,z'
'y,-x,z'
'-x,y,z'
'y,x,z'
'x,-y,z'
'-y,-x,z'
loop_
_atom_site_label
_atom_site_type_symbol
_atom_site_fract_x
_atom_site_fract_y
_atom_site_fract_z
Sc1 Sc 0.0000 0.0000 0.0000
Cr1 Cr 0.0000 0.0000 0.6057
Cr2 Cr 0.5000 0.5000 0.7565
Cl1 Cl 0.5000 0.5000 0.2115
```

Values from the calculation:
- calculated total energy (eV/atom) = -7.021
- relative energy among the computed polymorphs (meV per atom) = 28

=====

4.
Sr3Hg: optimized geometry, GGA-PBE.

```
data_Sr3Hg
_chemical_formula_sum 'Sr6 Hg2'
_symmetry_space_group_name_H-M 'I m m 2'
_symmetry_Int_Tables_number 44
_cell_length_a 4.2565
_cell_length_b 12.0373
_cell_length_c 7.0558
_cell_angle_alpha 90.00
_cell_angle_beta 90.00
_cell_angle_gamma 90.00
loop_
_symmetry_equiv_pos_as_xyz
'x,y,z'
'-x,-y,z'
'-x,y,z'
'x,-y,z'
'x+1/2,y+1/2,z+1/2'
'-x+1/2,-y+1/2,z+1/2'
'-x+1/2,y+1/2,z+1/2'
'x+1/2,-y+1/2,z+1/2'
loop_
_atom_site_label
_atom_site_type_symbol
_atom_site_fract_x
_atom_site_fract_y
_atom_site_fract_z
Sr1 Sr 0.0000 0.0000 0.0000
Sr2 Sr 0.0000 0.1920 0.5182
Hg1 Hg 0.0000 0.5000 0.8575
```

Values from the calculation:
- calculated total energy (eV/atom) = -1.578
- relative energy among the computed polymorphs (meV per atom) = 41
- calculated formation energy (eV per formula unit) = -1.0

=====

5.
Fe2AgTe2: optimized geometry, GGA-PBE.

```
data_Fe2AgTe2
_chemical_formula_sum 'Fe4 Ag2 Te4'
_symmetry_space_group_name_H-M 'I 4/m m m'
_symmetry_Int_Tables_number 139
_symmetry_space_group_name_Hall '-I 4 2'
_cell_length_a 3.5858
_cell_length_b 3.5858
_cell_length_c 15.9450
_cell_angle_alpha 90.00
_cell_angle_beta 90.00
_cell_angle_gamma 90.00
loop_
_atom_site_label
_atom_site_type_symbol
_atom_site_fract_x
_atom_site_fract_y
_atom_site_fract_z
Fe1 Fe 0.0000 0.5000 0.2500
Ag1 Ag 0.0000 0.0000 0.0000
Te1 Te 0.0000 0.0000 0.3717
```

Values from the calculation:
- calculated total energy (eV/atom) = -5.074

=====

6.
CdSb2I2: optimized geometry, GGA-PBE.

```
data_CdSb2I2
_chemical_formula_sum 'Cd2 Sb4 I4'
_symmetry_space_group_name_H-M 'P 4/m b m'
_symmetry_Int_Tables_number 127
_symmetry_space_group_name_Hall '-P 4 2ab'
_cell_length_a 7.7497
_cell_length_b 7.7497
_cell_length_c 5.4299
_cell_angle_alpha 90.00
_cell_angle_beta 90.00
_cell_angle_gamma 90.00
loop_
_atom_site_label
_atom_site_type_symbol
_atom_site_fract_x
_atom_site_fract_y
_atom_site_fract_z
Cd1 Cd 0.0000 0.0000 0.0000
Sb1 Sb 0.1379 0.3621 0.0000
I1 I 0.1972 0.6972 0.5000
```

Values from the calculation:
- calculated total energy (eV/atom) = -2.374